Entry 1:
{"formula": "TaGaNi4", "functional": "PBE-GGA", "state": "relaxed", "m_tot_mub_per_fu": 0.0, "formation_energy_ev_per_atom": -0.299, "dft_energy_ev_per_cell": -79.60, "relative_energy_mev_per_atom": 0, "lattice_angstrom": [[-2.549, -3.700, -0.536], [1.732, 2.990, 4.829], [-6.258, 4.367, 1.209]], "species": ["Ta", "Ta", "Ga", "Ga", "Ni", "Ni", "Ni", "Ni", "Ni", "Ni", "Ni", "Ni"], "fractional_positions": [[0.250, 0.000, 0.250], [0.750, 0.000, 0.750], [0.500, 0.500, 0.000], [0.000, 0.500, 0.500], [0.002, 0.500, 0.166], [0.499, 0.500, 0.334], [0.998, 0.500, 0.834], [0.501, 0.500, 0.666], [0.250, 0.000, 0.583], [0.250, 0.000, 0.917], [0.750, 0.000, 0.417], [0.750, 0.000, 0.083]]}

---

Entry 2:
{"formula": "TaGa4Ni15", "functional": "PBE-GGA", "state": "relaxed", "m_tot_mub_per_fu": 2.2, "formation_energy_ev_per_atom": -0.320, "dft_energy_ev_per_cell": -117.09, "lattice_angstrom": [[-2.055, 2.961, 0.097], [-2.881, -2.025, 0.777], [3.449, 1.817, 17.518]], "species": ["Ta", "Ga", "Ga", "Ga", "Ga", "Ni", "Ni", "Ni", "Ni", "Ni", "Ni", "Ni", "Ni", "Ni", "Ni", "Ni", "Ni", "Ni", "Ni", "Ni"], "fractional_positions": [[0.000, 0.000, 0.000], [0.000, 0.000, 0.204], [0.000, 0.000, 0.401], [0.000, 0.000, 0.599], [0.000, 0.000, 0.796], [0.500, 0.500, 0.000], [0.500, 0.500, 0.202], [0.500, 0.500, 0.400], [0.500, 0.500, 0.600], [0.500, 0.500, 0.798], [0.500, 0.000, 0.102], [0.500, 0.000, 0.302], [0.500, 0.000, 0.500], [0.500, 0.000, 0.698], [0.500, 0.000, 0.898], [0.000, 0.500, 0.102], [0.000, 0.500, 0.302], [0.000, 0.500, 0.500], [0.000, 0.500, 0.698], [0.000, 0.500, 0.898]]}

---

Entry 3:
{"formula": "TaGaNi4", "functional": "PBE-GGA", "state": "relaxed", "m_tot_mub_per_fu": 0.0, "formation_energy_ev_per_atom": -0.241, "dft_energy_ev_per_cell": -39.45, "relative_energy_mev_per_atom": 58, "lattice_angstrom": [[-0.604, -4.636, -0.748], [2.165, -3.151, 2.795], [-2.529, -2.582, 3.059]], "species": ["Ni", "Ni", "Ni", "Ni", "Ga", "Ta"], "fractional_positions": [[0.625, 0.625, 0.125], [0.625, 0.125, 0.625], [0.625, 0.625, 0.625], [0.125, 0.625, 0.625], [0.000, 0.000, 0.000], [0.250, 0.250, 0.250]]}

---

Entry 4:
{"formula": "Ta2GaNi4", "functional": "PBE-GGA", "state": "relaxed", "m_tot_mub_per_fu": 0.0, "formation_energy_ev_per_atom": -0.045, "dft_energy_ev_per_cell": -50.17, "relative_energy_mev_per_atom": 0, "lattice_angstrom": [[4.039, -1.263, -1.909], [-1.013, 4.530, 0.099], [-1.685, 1.604, 6.406]], "species": ["Ta", "Ta", "Ga", "Ni", "Ni", "Ni", "Ni"], "fractional_positions": [[0.750, 0.504, 0.256], [0.250, 0.496, 0.744], [0.000, 0.000, 0.000], [0.675, 0.828, 0.502], [0.325, 0.172, 0.498], [0.000, 0.500, 0.000], [0.500, 0.000, 0.000]]}

---

Entry 5:
{"formula": "Ta2GaNi", "functional": "PBE-GGA", "state": "relaxed", "m_tot_mub_per_fu": 0.0, "formation_energy_ev_per_atom": 0.447, "dft_energy_ev_per_cell": -61.45, "lattice_angstrom": [[-2.710, 1.209, 2.366], [-2.433, -2.488, -1.516], [0.116, -7.179, 6.845]], "species": ["Ni", "Ni", "Ga", "Ga", "Ta", "Ta", "Ta", "Ta"], "fractional_positions": [[0.500, 0.500, 0.000], [0.250, 0.750, 0.500], [0.000, 0.000, 0.000], [0.750, 0.250, 0.500], [0.627, 0.125, 0.250], [0.123, 0.625, 0.250], [0.375, 0.373, 0.750], [0.875, 0.877, 0.750]]}

---

Entry 6:
{"formula": "Ta2Ga2Ni3", "functional": "PBE-GGA", "state": "relaxed", "m_tot_mub_per_fu": 0.0, "formation_energy_ev_per_atom": -0.154, "dft_energy_ev_per_cell": -48.18, "lattice_angstrom": [[0.385, -4.040, 0.233], [3.115, 2.396, 1.025], [-3.653, 2.062, 6.287]], "species": ["Ta", "Ta", "Ga", "Ga", "Ni", "Ni", "Ni"], "fractional_positions": [[0.252, 0.126, 0.378], [0.748, 0.874, 0.622], [0.754, 0.377, 0.131], [0.246, 0.623, 0.869], [0.000, 0.000, 0.000], [0.502, 0.251, 0.753], [0.498, 0.749, 0.247]]}

---

What did the third record say?
{"formula": "TaGaNi4", "functional": "PBE-GGA", "state": "relaxed", "m_tot_mub_per_fu": 0.0, "formation_energy_ev_per_atom": -0.241, "dft_energy_ev_per_cell": -39.45, "relative_energy_mev_per_atom": 58, "lattice_angstrom": [[-0.604, -4.636, -0.748], [2.165, -3.151, 2.795], [-2.529, -2.582, 3.059]], "species": ["Ni", "Ni", "Ni", "Ni", "Ga", "Ta"], "fractional_positions": [[0.625, 0.625, 0.125], [0.625, 0.125, 0.625], [0.625, 0.625, 0.625], [0.125, 0.625, 0.625], [0.000, 0.000, 0.000], [0.250, 0.250, 0.250]]}